Al2ZnSi: optimized geometry, PBE.

Summary:
- DFT total energy (eV/atom) = -3.3976
- raw formation energy (eV per atom) = 0.15
- total magnetization (μB/f.u.) = 0.0

abc: 2.9298 3.9316 5.5160
angles: 90.00 90.00 90.00
Last column: nearest neighbours and their distance in Å.
Space group Pmm2 (No. 25)
Inequivalent atoms, fractional coordinates:
Al  0.0000  0.0000  0.0000  2 Si 2.75-2.76, 4 Zn 2.76, 6 Al 2.87-2.93
Al  0.5000  0.5000  0.2718  2 Zn 2.74-2.77, 4 Si 2.75, 6 Al 2.87-2.93
Zn  0.5000  0.5000  0.7691  6 Al 2.74-2.77, 4 Si 2.87, 2 Zn 2.93
Si  0.0000  0.0000  0.4990  6 Al 2.75-2.76, 4 Zn 2.87, 2 Si 2.93